[1]
Compound: K4Np3TlTe8
Source: Alexandria
Functional: PBE
Structure: optimized geometry

```
16
Lattice="-6.228 0.955 -6.846 -4.177 -8.335 2.637 0.983 6.715 6.365" Properties=species:S:1:pos:R:3 pbc="T T T"
K -3.114 0.477 -3.423
K -2.622 3.835 -0.241
K 0.000 0.000 0.000
K 0.491 3.357 3.182
Np -5.202 -3.690 -2.105
Np -4.711 -0.333 1.077
Np -1.597 -0.810 4.501
Tl -2.088 -4.168 1.318
Te -3.546 0.791 6.275
Te -4.002 -2.333 3.315
Te -2.346 1.363 2.324
Te -6.442 1.235 3.092
Te -2.980 -1.900 -0.937
Te -7.075 -2.028 -0.169
Te -5.419 1.667 -1.160
Te -5.875 -1.456 -4.121
```

Computed properties:
DOS at the Fermi energy = 1.751 states/eV/atom
VASP energy = -83.8 eV per cell

[2]
Compound: BiRhN2
Source: Alexandria
Functional: PBE
Structure: optimized geometry

```
8
Lattice="5.222 0.000 0.000 0.000 5.222 0.000 2.611 2.611 4.778" Properties=species:S:1:pos:R:3 pbc="T T T"
Rh 2.611 2.611 0.000
Rh 2.611 5.222 2.389
Bi 0.000 0.000 0.000
Bi 5.222 2.611 2.389
N 3.546 1.305 1.195
N 1.675 3.916 1.195
N 3.916 4.286 3.584
N 6.527 6.157 3.584
```

Computed properties:
DOS at the Fermi energy = 0.090 states/eV/atom
VASP energy = -49.4 eV per cell

[3]
Compound: KMn4Al
Source: Alexandria
Functional: PBE
Structure: optimized geometry

```
6
Lattice="0.979 -5.295 0.262 -0.188 -2.544 4.749 -4.017 -3.434 1.060" Properties=species:S:1:pos:R:3 pbc="T T T"
K 0.000 0.000 0.000
Mn -0.738 -6.851 2.419
Mn -3.189 -5.939 2.811
Mn -1.310 -5.502 4.620
Mn -1.218 -4.254 2.291
Al -2.421 -8.455 4.553
```

Computed properties:
DOS at the Fermi energy = 0.970 states/eV/atom
VASP energy = -36.9 eV per cell

[4]
Compound: TmGa4Co2Ru
Source: Alexandria
Functional: PBE
Structure: optimized geometry

```
8
Lattice="-2.604 -3.007 0.947 0.544 -2.174 3.420 -5.531 3.821 5.752" Properties=species:S:1:pos:R:3 pbc="T T T"
Tm 0.000 0.000 0.000
Ga -5.240 0.975 6.341
Ga -3.934 -3.035 6.029
Ga -3.657 1.675 4.090
Ga -2.350 -2.335 3.778
Co -5.527 -1.210 7.443
Co -2.063 -0.150 2.677
Ru -3.795 -0.680 5.060
```

Computed properties:
DOS at the Fermi energy = 0.625 states/eV/atom
VASP energy = -43.0 eV per cell

[5]
Compound: Ba2Na3UO6
Source: Alexandria
Functional: PBE
Structure: optimized geometry

```
12
Lattice="6.658 -0.124 0.043 -3.435 5.705 0.043 -1.038 -1.797 5.643" Properties=species:S:1:pos:R:3 pbc="T T T"
Ba -0.105 3.782 0.043
Ba 3.328 1.799 0.043
Na -2.641 4.048 2.864
Na 4.827 -0.265 2.864
Na 1.093 1.892 2.864
U 0.000 0.000 0.000
O 3.110 2.273 4.457
O 2.294 3.973 1.251
O -0.924 1.511 1.271
O 0.415 3.829 4.457
O -0.109 -0.189 4.477
O 1.771 -0.046 1.271
```

Computed properties:
VASP energy = -77.9 eV per cell

[6]
Compound: Pr2NiSe
Source: Alexandria
Functional: PBE
Structure: optimized geometry

```
8
Lattice="4.320 0.000 0.000 0.000 4.003 -0.711 0.000 0.037 11.832" Properties=species:S:1:pos:R:3 pbc="T T T"
Pr 3.240 2.738 3.790
Pr 1.080 1.302 7.331
Pr 3.240 3.786 9.695
Pr 1.080 0.253 1.426
Ni 1.080 1.914 10.779
Ni 3.240 2.125 0.342
Se 1.080 0.779 4.387
Se 3.240 3.261 6.734
```

Computed properties:
DOS at the Fermi energy = 0.666 states/eV/atom
VASP energy = -45.9 eV per cell
Energy relative to the lowest polymorph listed for this composition = 0 meV/atom

[7]
Compound: ErLuBi
Source: Alexandria
Functional: PBE
Structure: optimized geometry

```
3
Lattice="-3.308 1.669 -0.669 -2.487 -4.176 1.877 1.321 3.899 3.194" Properties=species:S:1:pos:R:3 pbc="T T T"
Lu -1.916 2.200 2.357
Bi -2.367 -0.904 2.083
Er -0.190 0.096 -0.039
```

Computed properties:
DOS at the Fermi energy = 0.931 states/eV/atom
VASP energy = -13.6 eV per cell

[8]
Compound: Pr2Cd3Au3
Source: Alexandria
Functional: PBE
Structure: optimized geometry

```
8
Lattice="4.892 0.000 1.474 2.224 4.357 1.474 0.021 0.013 8.784" Properties=species:S:1:pos:R:3 pbc="T T T"
Pr 0.058 0.035 8.662
Pr 3.533 2.163 5.984
Cd 1.769 1.083 2.983
Cd 5.367 3.286 8.752
Cd 4.435 2.716 2.991
Au 0.930 0.570 5.766
Au 6.264 3.836 5.775
Au 2.643 1.619 8.936
```

Computed properties:
DOS at the Fermi energy = 0.597 states/eV/atom
VASP energy = -26.6 eV per cell

[9]
Compound: Er3ScRh
Source: Alexandria
Functional: PBE
Structure: optimized geometry

```
10
Lattice="-4.815 5.153 -0.780 -3.514 -6.134 -0.611 3.270 0.161 6.279" Properties=species:S:1:pos:R:3 pbc="T T T"
Er -3.293 4.114 1.045
Er -1.750 -1.424 1.278
Er -3.308 0.604 3.609
Er -4.484 0.967 0.190
Er -1.765 -4.934 3.843
Er -0.574 -1.787 4.697
Sc -1.095 3.405 4.153
Sc -3.963 -4.225 0.734
Rh -4.414 -1.372 1.422
Rh -0.644 0.552 3.465
```

Computed properties:
DOS at the Fermi energy = 1.262 states/eV/atom
VASP energy = -58.3 eV per cell

[10]
Compound: Mg2ZnNiCl
Source: Alexandria
Functional: PBE
Structure: optimized geometry

```
5
Lattice="5.145 0.000 0.000 0.000 4.877 0.000 0.000 0.000 5.145" Properties=species:S:1:pos:R:3 pbc="T T T"
Ni 2.572 2.439 2.572
Zn 0.000 0.000 0.000
Mg 0.000 0.000 2.572
Mg 2.572 0.000 0.000
Cl 0.000 2.439 0.000
```

Computed properties:
DOS at the Fermi energy = 2.057 states/eV/atom
VASP energy = -8.8 eV per cell

[11]
Compound: CsVCo2
Source: Alexandria
Functional: PBE
Structure: optimized geometry

```
4
Lattice="0.000 3.312 3.312 3.312 0.000 3.312 3.312 3.312 0.000" Properties=species:S:1:pos:R:3 pbc="T T T"
Cs 3.312 3.312 3.312
Co 1.656 1.656 1.656
Co 4.968 4.968 4.968
V 0.000 0.000 0.000
```

Computed properties:
DOS at the Fermi energy = 1.736 states/eV/atom
VASP energy = -17.6 eV per cell
Energy relative to the lowest polymorph listed for this composition = 340 meV/atom

[12]
Compound: Cs2TlCu
Source: Alexandria
Functional: PBE
Structure: optimized geometry

```
8
Lattice="5.384 -2.516 8.189 -8.291 3.946 -4.251 -2.786 -9.541 -1.893" Properties=species:S:1:pos:R:3 pbc="T T T"
Cs 0.334 -2.087 3.480
Cs -5.300 -6.382 -2.420
Cs -4.404 -1.348 1.365
Cs -2.015 -6.406 1.664
Tl 0.000 0.000 0.000
Tl -6.265 -2.440 -2.088
Cu -1.453 0.715 1.969
Cu 0.572 -5.671 4.132
```

Computed properties:
DOS at the Fermi energy = 0.960 states/eV/atom
VASP energy = -15.0 eV per cell

[13]
Compound: BaLa2SmHg4
Source: Alexandria
Functional: PBE
Structure: optimized geometry

```
8
Lattice="-1.008 4.777 -2.654 -4.763 2.721 0.889 2.034 7.171 6.316" Properties=species:S:1:pos:R:3 pbc="T T T"
Ba 0.000 0.000 0.000
La -2.819 10.981 3.385
La -0.917 3.687 1.167
Sm -1.868 7.334 2.276
Hg -0.485 8.966 4.689
Hg -4.229 9.317 0.925
Hg 0.493 5.351 3.627
Hg -3.252 5.701 -0.137
```

Computed properties:
DOS at the Fermi energy = 0.961 states/eV/atom
VASP energy = -21.4 eV per cell